# 1
# KTl2MoC

KTl2MoC at its PBEsol-relaxed geometry (SCAN, Alexandria via LeMat-Bulk).

## Properties
Energy of formation from the pure elements   1.9347 eV per atom
Symmetry   P4/mmm (123)
Crystal system   tetragonal

Unit cell a=5.301 b=5.301 c=6.535 alpha=90.00 beta=90.00 gamma=90.00
Sites, in units of the cell vectors:
K 0.000 0.000 0.500
C 0.500 0.500 0.500
Tl 0.000 0.500 0.000
Tl 0.500 0.000 0.000
Mo 0.000 0.000 0.000


# 2
# K5C3N6

K5C3N6 at its PBEsol-relaxed geometry (SCAN, Alexandria via LeMat-Bulk).

## Properties
Uncorrected formation energy   -0.49 eV per atom
Symmetry   Im-3m (229)
Crystal system   cubic

Unit cell a=6.869 b=6.869 c=6.869 alpha=109.47 beta=109.47 gamma=109.47
Sites, in units of the cell vectors:
K 0.000 0.000 0.000
K 0.000 0.500 0.000
K 0.000 0.000 0.500
K 0.500 0.500 0.500
K 0.500 0.000 0.000
C 0.500 0.000 0.500
C 0.000 0.500 0.500
C 0.500 0.500 0.000
N 0.656 0.000 0.656
N 0.000 0.344 0.344
N 0.344 0.344 0.000
N 0.344 0.000 0.344
N 0.656 0.656 0.000
N 0.000 0.656 0.656


# 3
# K2CN2

K2CN2 at its PBEsol-relaxed geometry (SCAN, Alexandria via LeMat-Bulk).

## Properties
Uncorrected formation energy   -0.62 eV per atom
Symmetry   C2/m (12)
Crystal system   monoclinic

Unit cell a=4.020 b=4.020 c=5.749 alpha=76.91 beta=76.91 gamma=89.03
Sites, in units of the cell vectors:
K 0.323 0.323 0.289
K 0.677 0.677 0.711
C 0.000 0.000 0.000
N 0.161 0.161 0.795
N 0.839 0.839 0.205


# 4
# KCN

KCN at its PBEsol-relaxed geometry (SCAN, Alexandria via LeMat-Bulk).

## Properties
Uncorrected formation energy   -0.37 eV per atom
Symmetry   Cc (9)
Crystal system   monoclinic

Unit cell a=4.304 b=4.304 c=8.491 alpha=92.94 beta=102.76 gamma=117.59
Sites, in units of the cell vectors:
K 0.519 0.543 0.456
K 0.413 0.937 0.956
C 0.994 0.289 0.660
C 0.871 0.666 0.160
N 0.943 0.174 0.781
N 0.107 0.838 0.281


# 5
# KCN2O

KCN2O at its PBEsol-relaxed geometry (SCAN, Alexandria via LeMat-Bulk).

## Properties
Uncorrected formation energy   1.77 eV per atom
Symmetry   P4/mmm (123)
Crystal system   tetragonal

Unit cell a=3.122 b=3.122 c=6.100 alpha=90.00 beta=90.00 gamma=90.00
Sites, in units of the cell vectors:
K 0.500 0.500 0.500
C 0.000 0.000 0.000
O 0.000 0.000 0.500
N 0.000 0.500 0.000
N 0.500 0.000 0.000


# 6
# K2PtC4N4

K2PtC4N4 at its PBEsol-relaxed geometry (SCAN, Alexandria via LeMat-Bulk).

## Properties
Uncorrected formation energy   -0.27 eV per atom
Symmetry   Pccn (56)
Crystal system   orthorhombic

Unit cell a=6.951 b=9.028 c=13.704 alpha=90.00 beta=90.00 gamma=90.00
Sites, in units of the cell vectors:
K 0.202 0.354 0.897
K 0.298 0.646 0.397
K 0.798 0.646 0.103
K 0.298 0.854 0.103
K 0.702 0.146 0.897
K 0.202 0.146 0.603
K 0.798 0.854 0.397
K 0.702 0.354 0.603
Pt 0.588 0.750 0.750
Pt 0.912 0.250 0.250
Pt 0.088 0.750 0.750
Pt 0.412 0.250 0.250
C 0.418 0.040 0.290
C 0.418 0.460 0.210
C 0.082 0.540 0.710
C 0.582 0.960 0.710
C 0.907 0.303 0.111
C 0.907 0.197 0.389
C 0.407 0.303 0.389
C 0.918 0.460 0.290
C 0.593 0.803 0.889
C 0.093 0.803 0.611
C 0.582 0.540 0.790
C 0.082 0.960 0.790
C 0.093 0.697 0.889
C 0.407 0.197 0.111
C 0.918 0.040 0.210
C 0.593 0.697 0.611
N 0.074 0.416 0.686
N 0.899 0.166 0.472
N 0.926 0.916 0.186
N 0.899 0.334 0.028
N 0.574 0.084 0.686
N 0.101 0.666 0.972
N 0.601 0.666 0.528
N 0.926 0.584 0.314
N 0.601 0.834 0.972
N 0.574 0.416 0.814
N 0.074 0.084 0.814
N 0.399 0.166 0.028
N 0.399 0.334 0.472
N 0.426 0.584 0.186
N 0.101 0.834 0.528
N 0.426 0.916 0.314


# 7
# KPtCN2

KPtCN2 at its PBEsol-relaxed geometry (SCAN, Alexandria via LeMat-Bulk).

## Properties
Uncorrected formation energy   1.54 eV per atom
Symmetry   P4/mmm (123)
Crystal system   tetragonal

Unit cell a=3.862 b=4.232 c=4.232 alpha=90.00 beta=90.00 gamma=90.00
Sites, in units of the cell vectors:
K 0.500 0.500 0.500
C 0.500 0.000 0.000
Pt 0.000 0.000 0.000
N 0.000 0.000 0.500
N 0.000 0.500 0.000


# 8
# K2Re3CS5N

K2Re3CS5N at its PBEsol-relaxed geometry (SCAN, Alexandria via LeMat-Bulk).

## Properties
Uncorrected formation energy   -0.74 eV per atom
Symmetry   Pmna (53)
Crystal system   orthorhombic

Unit cell a=9.201 b=10.151 c=11.285 alpha=90.00 beta=90.00 gamma=90.00
Sites, in units of the cell vectors:
K 0.048 0.750 0.250
K 0.048 0.750 0.750
K 0.222 0.073 0.000
K 0.222 0.427 0.500
K 0.778 0.573 0.500
K 0.778 0.927 0.000
K 0.952 0.250 0.250
K 0.952 0.250 0.750
Re 0.336 0.605 0.000
Re 0.336 0.895 0.500
Re 0.417 0.107 0.385
Re 0.417 0.107 0.615
Re 0.417 0.393 0.115
Re 0.417 0.393 0.885
Re 0.583 0.607 0.115
Re 0.583 0.607 0.885
Re 0.583 0.893 0.385
Re 0.583 0.893 0.615
Re 0.664 0.105 0.500
Re 0.664 0.395 0.000
C 0.166 0.760 0.500
C 0.166 0.740 0.000
C 0.834 0.240 0.500
C 0.834 0.260 0.000
S 0.196 0.093 0.500
S 0.196 0.407 0.000
S 0.286 0.250 0.250
S 0.286 0.250 0.750
S 0.351 0.594 0.786
S 0.351 0.906 0.714
S 0.351 0.594 0.214
S 0.351 0.906 0.286
S 0.493 0.709 0.500
S 0.493 0.791 0.000
S 0.507 0.209 0.000
S 0.507 0.291 0.500
S 0.649 0.094 0.286
S 0.649 0.094 0.714
S 0.649 0.406 0.786
S 0.649 0.406 0.214
S 0.714 0.750 0.250
S 0.714 0.750 0.750
S 0.804 0.593 0.000
S 0.804 0.907 0.500
N 0.077 0.824 0.000
N 0.077 0.676 0.500
N 0.923 0.176 0.000
N 0.923 0.324 0.500


# 9
# KTcCN2

KTcCN2 at its PBEsol-relaxed geometry (SCAN, Alexandria via LeMat-Bulk).

## Properties
Uncorrected formation energy   3.87 eV per atom
Symmetry   P4/mmm (123)
Crystal system   tetragonal

Unit cell a=4.000 b=4.000 c=4.089 alpha=90.00 beta=90.00 gamma=90.00
Sites, in units of the cell vectors:
C 0.000 0.000 0.500
K 0.000 0.000 0.000
Tc 0.500 0.500 0.500
N 0.000 0.500 0.000
N 0.500 0.000 0.000


# 10
# KNaNb2C

KNaNb2C at its PBEsol-relaxed geometry (SCAN, Alexandria via LeMat-Bulk).

## Properties
Energy of formation from the pure elements   0.7298 eV per atom
Symmetry   P4/mmm (123)
Crystal system   tetragonal

Unit cell a=4.280 b=4.280 c=5.913 alpha=90.00 beta=90.00 gamma=90.00
Sites, in units of the cell vectors:
C 0.000 0.000 0.000
Na 0.500 0.500 0.500
Nb 0.000 0.500 0.000
Nb 0.500 0.000 0.000
K 0.000 0.000 0.500


# 11
# KNdC2O6

KNdC2O6 at its PBEsol-relaxed geometry (SCAN, Alexandria via LeMat-Bulk).

## Properties
Uncorrected formation energy   -2.32 eV per atom
Symmetry   Pmn2_1 (31)
Crystal system   orthorhombic

Unit cell a=6.471 b=8.493 c=9.718 alpha=90.00 beta=90.00 gamma=90.00
Sites, in units of the cell vectors:
K 0.451 0.685 0.236
K 0.451 0.685 0.764
K 0.549 0.185 0.264
K 0.549 0.185 0.736
Nd 0.968 0.953 0.000
Nd 0.033 0.454 0.000
Nd 0.032 0.453 0.500
Nd 0.967 0.954 0.500
C 0.962 0.762 0.751
C 0.038 0.262 0.749
C 0.475 0.442 0.500
C 0.038 0.262 0.251
C 0.409 0.956 0.500
C 0.962 0.762 0.249
C 0.591 0.456 0.000
C 0.525 0.942 0.000
O 0.393 0.475 0.000
O 0.367 0.313 0.500
O 0.327 0.938 0.000
O 0.028 0.195 0.132
O 0.034 0.703 0.863
O 0.883 0.903 0.755
O 0.972 0.695 0.368
O 0.607 0.975 0.500
O 0.693 0.448 0.885
O 0.117 0.403 0.745
O 0.966 0.203 0.637
O 0.633 0.813 0.000
O 0.117 0.403 0.255
O 0.966 0.203 0.363
O 0.624 0.076 0.000
O 0.883 0.903 0.245
O 0.693 0.448 0.115
O 0.972 0.695 0.632
O 0.376 0.576 0.500
O 0.307 0.948 0.385
O 0.034 0.703 0.137
O 0.028 0.195 0.868
O 0.307 0.948 0.615
O 0.673 0.438 0.500


# 12
# K2NiPCO7

K2NiPCO7 at its PBEsol-relaxed geometry (SCAN, Alexandria via LeMat-Bulk).

## Properties
Uncorrected formation energy   -1.94 eV per atom
Symmetry   P2_1/m (11)
Crystal system   monoclinic

Unit cell a=5.260 b=6.944 c=9.382 alpha=90.00 beta=91.99 gamma=90.00
Sites, in units of the cell vectors:
K 0.254 0.531 0.748
K 0.254 0.969 0.748
K 0.746 0.469 0.252
K 0.746 0.031 0.252
Ni 0.782 0.250 0.642
Ni 0.218 0.750 0.358
P 0.721 0.750 0.571
P 0.279 0.250 0.429
C 0.735 0.250 0.889
C 0.265 0.750 0.111
O 0.293 0.750 0.981
O 0.952 0.250 0.825
O 0.549 0.250 0.792
O 0.772 0.931 0.664
O 0.772 0.569 0.664
O 0.116 0.250 0.564
O 0.430 0.750 0.523
O 0.570 0.250 0.477
O 0.884 0.750 0.436
O 0.228 0.431 0.336
O 0.228 0.069 0.336
O 0.451 0.750 0.208
O 0.048 0.750 0.175
O 0.707 0.250 0.019


# 13
# K2CO3

K2CO3 at its PBEsol-relaxed geometry (SCAN, Alexandria via LeMat-Bulk).

## Properties
Uncorrected formation energy   -1.92 eV per atom
Symmetry   P6_3/mmc (194)
Crystal system   hexagonal

Unit cell a=5.694 b=5.694 c=6.972 alpha=90.00 beta=90.00 gamma=120.00
Sites, in units of the cell vectors:
C 0.667 0.333 0.250
C 0.333 0.667 0.750
K 0.000 0.000 0.000
K 0.000 0.000 0.500
K 0.667 0.333 0.750
K 0.333 0.667 0.250
O 0.798 0.202 0.250
O 0.403 0.202 0.250
O 0.798 0.597 0.250
O 0.202 0.798 0.750
O 0.597 0.798 0.750
O 0.202 0.403 0.750


# 14
# K2CO3

K2CO3 at its PBEsol-relaxed geometry (SCAN, Alexandria via LeMat-Bulk).

## Properties
Uncorrected formation energy   -1.93 eV per atom
Symmetry   P2_1/c (14)
Crystal system   monoclinic

Unit cell a=5.627 b=6.956 c=9.694 alpha=90.00 beta=90.00 gamma=98.45
Sites, in units of the cell vectors:
C 0.250 0.256 0.584
C 0.750 0.244 0.084
C 0.750 0.744 0.416
C 0.250 0.756 0.916
K 0.240 0.194 0.918
K 0.760 0.306 0.418
K 0.760 0.806 0.082
K 0.240 0.694 0.582
K 0.739 0.972 0.732
K 0.261 0.528 0.232
K 0.261 0.028 0.268
K 0.739 0.472 0.768
O 0.735 0.188 0.955
O 0.265 0.312 0.455
O 0.265 0.812 0.045
O 0.735 0.688 0.545
O 0.061 0.278 0.655
O 0.939 0.222 0.155
O 0.939 0.722 0.345
O 0.061 0.778 0.845
O 0.425 0.181 0.640
O 0.575 0.319 0.140
O 0.575 0.819 0.360
O 0.425 0.681 0.860


# 15
# KCO2

KCO2 at its PBEsol-relaxed geometry (SCAN, Alexandria via LeMat-Bulk).

## Properties
Uncorrected formation energy   -1.69 eV per atom
Symmetry   Pbam (55)
Crystal system   orthorhombic

Unit cell a=3.401 b=6.112 c=10.891 alpha=90.00 beta=90.00 gamma=90.00
Sites, in units of the cell vectors:
C 0.000 0.930 0.439
C 0.000 0.070 0.561
C 0.000 0.430 0.061
C 0.000 0.570 0.939
K 0.500 0.402 0.350
K 0.500 0.598 0.650
K 0.500 0.902 0.150
K 0.500 0.098 0.850
O 0.000 0.724 0.452
O 0.000 0.276 0.548
O 0.000 0.224 0.048
O 0.000 0.776 0.952
O 0.000 0.034 0.339
O 0.000 0.966 0.661
O 0.000 0.534 0.161
O 0.000 0.466 0.839


# 16
# K3SbPCO7

K3SbPCO7 at its PBEsol-relaxed geometry (SCAN, Alexandria via LeMat-Bulk).

## Properties
Uncorrected formation energy   -1.95 eV per atom
Symmetry   P2_1/m (11)
Crystal system   monoclinic

Unit cell a=6.227 b=6.995 c=10.309 alpha=90.00 beta=105.73 gamma=90.00
Sites, in units of the cell vectors:
K 0.793 0.750 0.943
K 0.218 0.986 0.688
K 0.218 0.514 0.688
K 0.782 0.486 0.312
K 0.782 0.014 0.312
K 0.207 0.250 0.057
Sb 0.721 0.250 0.687
Sb 0.279 0.750 0.313
P 0.687 0.750 0.614
P 0.313 0.250 0.386
C 0.624 0.250 0.957
C 0.376 0.750 0.043
O 0.341 0.750 0.916
O 0.802 0.250 0.907
O 0.429 0.250 0.873
O 0.745 0.928 0.711
O 0.745 0.572 0.711
O 0.430 0.750 0.549
O 0.173 0.250 0.486
O 0.827 0.750 0.514
O 0.570 0.250 0.451
O 0.255 0.428 0.289
O 0.255 0.072 0.289
O 0.571 0.750 0.127
O 0.198 0.750 0.093
O 0.659 0.250 0.084


| no. | final energy (eV/atom) |
| --- | --- |
| 1 | -37.671 |
| 2 | -9.611 |
| 3 | -9.688 |
| 4 | -9.613 |
| 5 | -6.877 |
| 6 | -15.222 |
| 7 | -19.897 |
| 8 | -25.532 |
| 9 | -10.541 |
| 10 | -17.051 |
| 11 | -13.269 |
| 12 | -10.016 |
| 13 | -9.492 |
| 14 | -9.506 |
| 15 | -9.414 |
| 16 | -11.667 |